1.
# PBE Ce4Nd2Bi3O2, optimized geometry
data_Ce4Nd2Bi3O2
_cell_length_a 4.742
_cell_length_b 4.742
_cell_length_c 13.821
_cell_angle_alpha 99.88
_cell_angle_beta 99.88
_cell_angle_gamma 90.00
_symmetry_space_group_name_H-M 'P 1'
_symmetry_Int_Tables_number 1
_symmetry_space_group_name_Hall 'P 1'
loop_
_atom_site_label
_atom_site_type_symbol
_atom_site_fract_x
_atom_site_fract_y
_atom_site_fract_z
Ce1 Ce 0.414 0.914 0.829
Ce2 Ce 0.914 0.414 0.829
Ce3 Ce 0.086 0.586 0.171
Ce4 Ce 0.586 0.086 0.171
Nd1 Nd 0.302 0.302 0.605
Nd2 Nd 0.698 0.698 0.395
Bi1 Bi 0.000 0.000 0.000
Bi2 Bi 0.179 0.179 0.357
Bi3 Bi 0.821 0.821 0.643
O1 O 0.399 0.399 0.799
O2 O 0.601 0.601 0.201
# ΔE_f (raw) = -16.03 eV/f.u.
# space group = I4/mmm, No. 139
# crystal system = tetragonal



2.
# PBE NdHRh, optimized geometry
data_NdHRh
_cell_length_a 3.875
_cell_length_b 6.238
_cell_length_c 4.423
_cell_angle_alpha 89.30
_cell_angle_beta 89.96
_cell_angle_gamma 71.94
_symmetry_space_group_name_H-M 'P 1'
_symmetry_Int_Tables_number 1
_symmetry_space_group_name_Hall 'P 1'
loop_
_atom_site_label
_atom_site_type_symbol
_atom_site_fract_x
_atom_site_fract_y
_atom_site_fract_z
Rh1 Rh 0.417 0.166 0.728
Rh2 Rh 0.583 0.834 0.272
Nd1 Nd 0.869 0.262 0.258
Nd2 Nd 0.131 0.738 0.742
H1 H 0.690 0.620 0.023
H2 H 0.310 0.380 0.977
# polymorph energy (0 for the lowest one) = 0.00 eV/f.u.
# space group = C2/m, No. 12
# crystal system = monoclinic



3.
# PBE TlSiRh2Au, optimized geometry
data_TlSiRh2Au
_cell_length_a 4.989
_cell_length_b 5.084
_cell_length_c 4.989
_cell_angle_alpha 90.00
_cell_angle_beta 90.00
_cell_angle_gamma 90.00
_symmetry_space_group_name_H-M 'P 1'
_symmetry_Int_Tables_number 1
_symmetry_space_group_name_Hall 'P 1'
loop_
_atom_site_label
_atom_site_type_symbol
_atom_site_fract_x
_atom_site_fract_y
_atom_site_fract_z
Rh1 Rh 0.000 0.000 0.500
Rh2 Rh 0.500 0.000 0.000
Tl1 Tl 0.000 0.000 0.000
Au1 Au 0.000 0.500 0.000
Si1 Si 0.500 0.500 0.500
# ΔE_f (raw) = 7.74 eV/f.u.
# space group = P4/mmm, No. 123
# crystal system = tetragonal



4.
# PBE Al2InTc, optimized geometry
data_Al2InTc
_cell_length_a 5.071
_cell_length_b 5.071
_cell_length_c 5.071
_cell_angle_alpha 135.91
_cell_angle_beta 132.56
_cell_angle_gamma 66.76
_symmetry_space_group_name_H-M 'P 1'
_symmetry_Int_Tables_number 1
_symmetry_space_group_name_Hall 'P 1'
loop_
_atom_site_label
_atom_site_type_symbol
_atom_site_fract_x
_atom_site_fract_y
_atom_site_fract_z
Al1 Al 0.003 0.003 0.000
Al2 Al 0.752 0.252 0.500
Tc1 Tc 0.246 0.746 0.500
In1 In 0.500 0.500 0.000
# ΔE_f = -28 meV per atom
# space group = Imm2, No. 44
# crystal system = orthorhombic



5.
# PBE MgMnSi2, optimized geometry
data_MgMnSi2
_cell_length_a 4.696
_cell_length_b 4.696
_cell_length_c 4.696
_cell_angle_alpha 131.65
_cell_angle_beta 131.65
_cell_angle_gamma 70.78
_symmetry_space_group_name_H-M 'P 1'
_symmetry_Int_Tables_number 1
_symmetry_space_group_name_Hall 'P 1'
loop_
_atom_site_label
_atom_site_type_symbol
_atom_site_fract_x
_atom_site_fract_y
_atom_site_fract_z
Mg1 Mg 0.250 0.750 0.500
Mn1 Mn 0.750 0.250 0.500
Si1 Si 0.000 0.000 0.000
Si2 Si 0.500 0.500 0.000
# ΔE_f (raw) = 0.31 eV/f.u.
# space group = I4/mmm, No. 139
# crystal system = tetragonal



6.
# PBE CoRe2Pd, optimized geometry
data_CoRe2Pd
_cell_length_a 4.315
_cell_length_b 4.315
_cell_length_c 4.315
_cell_angle_alpha 60.00
_cell_angle_beta 60.00
_cell_angle_gamma 60.00
_symmetry_space_group_name_H-M 'P 1'
_symmetry_Int_Tables_number 1
_symmetry_space_group_name_Hall 'P 1'
loop_
_atom_site_label
_atom_site_type_symbol
_atom_site_fract_x
_atom_site_fract_y
_atom_site_fract_z
Re1 Re 0.250 0.250 0.250
Re2 Re 0.750 0.750 0.750
Co1 Co 0.000 0.000 0.000
Pd1 Pd 0.500 0.500 0.500
# polymorph energy (0 for the lowest one) = 1.69 eV/f.u.
# ΔE_f = 576 meV per atom
# space group = Fm-3m, No. 225
# crystal system = cubic



7.
# PBE SbPbS2, optimized geometry
data_SbPbS2
_cell_length_a 4.368
_cell_length_b 7.619
_cell_length_c 12.677
_cell_angle_alpha 145.48
_cell_angle_beta 89.52
_cell_angle_gamma 90.63
_symmetry_space_group_name_H-M 'P 1'
_symmetry_Int_Tables_number 1
_symmetry_space_group_name_Hall 'P 1'
loop_
_atom_site_label
_atom_site_type_symbol
_atom_site_fract_x
_atom_site_fract_y
_atom_site_fract_z
Sb1 Sb 0.213 0.869 0.227
Sb2 Sb 0.408 0.250 0.237
Pb1 Pb 0.056 0.228 0.707
Pb2 Pb 0.481 0.776 0.747
S1 S 0.039 0.899 0.967
S2 S 0.038 0.607 0.508
S3 S 0.505 0.394 0.942
S4 S 0.516 0.107 0.489
# ΔE_f (raw) = -1.24 eV/f.u.
# space group = P1, No. 1
# crystal system = triclinic



8.
# PBE HfThTcPd, optimized geometry
data_HfThTcPd
_cell_length_a 4.876
_cell_length_b 4.876
_cell_length_c 4.876
_cell_angle_alpha 60.00
_cell_angle_beta 60.00
_cell_angle_gamma 60.00
_symmetry_space_group_name_H-M 'P 1'
_symmetry_Int_Tables_number 1
_symmetry_space_group_name_Hall 'P 1'
loop_
_atom_site_label
_atom_site_type_symbol
_atom_site_fract_x
_atom_site_fract_y
_atom_site_fract_z
Hf1 Hf 0.500 0.500 0.500
Pd1 Pd 0.250 0.250 0.250
Th1 Th 0.000 0.000 0.000
Tc1 Tc 0.750 0.750 0.750
# ΔE_f = -395 meV per atom
# space group = F-43m, No. 216
# crystal system = cubic



Theoretical density values, unit Mg/m³, following the record order: 8.3 8.1 8.3 6.7 4.0 15.7 5.5 12.5.